No. 1
ReGeIrRu2: relaxed, PBE.

Unit cell a=4.6786 b=4.7770 c=4.6786 alpha=90.00 beta=90.00 gamma=90.00
Site moments in Bohr magnetons follow the coordinates.
Positions (direct):
Re  0.0000  0.0000  0.0000  -0.01
Ge  0.5000  0.5000  0.5000  0.00
Ir  0.0000  0.5000  0.0000  0.06
Ru  0.0000  0.0000  0.5000  0.28
Ru  0.5000  0.0000  0.0000  0.20

Magnetic moment, μB per formula unit: 0.5
Calculated formation energy, eV per atom: 1.587
Space-group type: P4/mmm
Density, g/cm3: 10.37

No. 2
Tl8HgSb2: relaxed, PBE.

Unit cell a=8.2397 b=7.3059 c=7.3059 alpha=56.28 beta=85.49 gamma=85.49
Positions (direct):
Tl  0.6902  0.1730  0.6690
Tl  0.3098  0.3310  0.8270
Tl  0.9583  0.2473  0.2473
Tl  0.0417  0.7527  0.7527
Tl  0.6902  0.6690  0.1730
Tl  0.3098  0.8270  0.3310
Tl  0.3336  0.3354  0.3354
Tl  0.6664  0.6646  0.6646
Hg  0.0000  0.0000  0.0000
Sb  0.6196  0.1477  0.1477
Sb  0.3804  0.8523  0.8523

Magnetic moment, μB per formula unit: 0.0
E_form (uncorrected), meV/atom: 26
Space-group type: C2/m
Density, g/cm3: 9.48

No. 3
GaFe3Ge: relaxed, PBE.

Unit cell a=4.5258 b=4.5258 c=8.9193 alpha=104.70 beta=104.70 gamma=90.00
Site moments in Bohr magnetons follow the coordinates.
Positions (direct):
Ga  0.6313  0.1313  0.2625  -0.13
Ga  0.8687  0.3687  0.7375  -0.13
Fe  0.6244  0.8733  0.7465  2.07
Fe  0.1267  0.8779  0.2535  2.07
Fe  0.1267  0.3756  0.2535  2.07
Fe  0.1221  0.8733  0.7465  2.07
Fe  0.3099  0.3099  0.6197  2.38
Fe  0.6901  0.6901  0.3803  2.38
Ge  0.0000  0.0000  0.0000  -0.14
Ge  0.2500  0.7500  0.5000  -0.11

Magnetic moment, μB per formula unit: 6.2
Calculated formation energy, eV per atom: 0.357
Space-group type: I-4m2
Density, g/cm3: 6.04

No. 4
NaNpCuO5: relaxed, PBE.

Unit cell a=5.7503 b=5.7503 c=8.0079 alpha=102.18 beta=102.18 gamma=111.48
Site moments in Bohr magnetons follow the coordinates.
Positions (direct):
Na  0.3235  0.6765  0.2500  0.00
Na  0.6765  0.3235  0.7500  0.00
Np  0.0000  0.0000  0.5000  -0.02
Np  0.0000  0.0000  0.0000  -0.02
Cu  0.6735  0.3265  0.2500  -0.22
Cu  0.3265  0.6735  0.7500  -0.22
O  0.0760  0.9240  0.2500  -0.01
O  0.9240  0.0760  0.7500  -0.01
O  0.8690  0.2602  0.0937  -0.04
O  0.1310  0.7398  0.9063  -0.04
O  0.7398  0.1310  0.4063  -0.04
O  0.2602  0.8690  0.5937  -0.04
O  0.7097  0.6442  0.4163  -0.03
O  0.2903  0.3558  0.5837  -0.03
O  0.3558  0.2903  0.0837  -0.03
O  0.6442  0.7097  0.9163  -0.03

Magnetic moment, μB per formula unit: 0.4
E_form (uncorrected), meV/atom: -1876
Space-group type: C2/c
Density, g/cm3: 5.87

No. 5
PrSmDy5Th2: relaxed, PBE.

Unit cell a=8.9090 b=8.9090 c=9.8919 alpha=116.76 beta=116.76 gamma=90.00
Positions (direct):
Pr  0.2500  0.2500  0.5000
Pr  0.7500  0.7500  0.5000
Sm  0.2500  0.7500  0.5000
Sm  0.7500  0.2500  0.5000
Dy  0.9300  0.4300  0.2732
Dy  0.6568  0.1568  0.7268
Dy  0.0700  0.5700  0.7268
Dy  0.1568  0.0700  0.7268
Dy  0.5700  0.6568  0.7268
Dy  0.8432  0.9300  0.2732
Dy  0.4300  0.3432  0.2732
Dy  0.3432  0.8432  0.2732
Dy  0.5000  0.5000  0.0000
Dy  0.0000  0.0000  0.0000
Th  0.1184  0.3816  0.0000
Th  0.6184  0.1184  0.0000
Th  0.3816  0.8816  0.0000
Th  0.8816  0.6184  0.0000

Magnetic moment, μB per formula unit: 0.0
Calculated formation energy, eV per atom: 0.321
Space-group type: I4/mcm
Density, g/cm3: 8.60

No. 6
ErMg2GaAu4: relaxed, PBE.

Unit cell a=4.6467 b=4.6467 c=8.7181 alpha=74.54 beta=74.54 gamma=60.00
Positions (direct):
Er  0.0000  0.0000  0.0000
Mg  0.7556  0.7556  0.7333
Mg  0.2444  0.2444  0.2667
Ga  0.5000  0.5000  0.5000
Au  0.3872  0.3872  0.8384
Au  0.8762  0.8762  0.3713
Au  0.1238  0.1238  0.6287
Au  0.6128  0.6128  0.1616

Magnetic moment, μB per formula unit: 0.0
Calculated formation energy, eV per atom: -0.573
Space-group type: R-3m
Density, g/cm3: 11.49

No. 7
Cd2GaNi4: relaxed, PBE.

Unit cell a=4.3146 b=4.3146 c=7.2233 alpha=72.62 beta=72.62 gamma=90.00
Positions (direct):
Ni  0.8270  0.8270  0.3460
Ni  0.1730  0.1730  0.6540
Ni  0.0000  0.5000  0.0000
Ni  0.5000  0.0000  0.0000
Ga  0.0000  0.0000  0.0000
Cd  0.6309  0.6309  0.7382
Cd  0.3691  0.3691  0.2618

Magnetic moment, μB per formula unit: 0.0
Calculated formation energy, eV per atom: 0.505
Space-group type: I4/mmm
Density, g/cm3: 7.21

No. 8
Er2NbB6: relaxed, PBE.

Unit cell a=3.0581 b=6.1258 c=6.1258 alpha=81.12 beta=75.55 gamma=75.55
Positions (direct):
Er  0.3517  0.1483  0.1483
Er  0.6483  0.8517  0.8517
Nb  0.5000  0.5000  0.5000
B  0.1926  0.5528  0.0621
B  0.8074  0.4472  0.9379
B  0.8074  0.9379  0.4472
B  0.0000  0.2345  0.7655
B  0.0000  0.7655  0.2345
B  0.1926  0.0621  0.5528

Magnetic moment, μB per formula unit: 0.0
Calculated formation energy, eV per atom: 0.102
Space-group type: Immm
Density, g/cm3: 7.63

No. 9
Li3Al2Ag6: relaxed, PBE.

Unit cell a=3.8960 b=3.8960 c=14.1837 alpha=97.89 beta=97.89 gamma=90.00
Positions (direct):
Li  0.0000  0.0000  0.0000
Li  0.8282  0.8282  0.6564
Li  0.1718  0.1718  0.3436
Al  0.3630  0.3630  0.7260
Al  0.6370  0.6370  0.2740
Ag  0.0725  0.5725  0.1449
Ag  0.5725  0.0725  0.1449
Ag  0.9275  0.4275  0.8551
Ag  0.4275  0.9275  0.8551
Ag  0.7283  0.7283  0.4567
Ag  0.2717  0.2717  0.5433

Magnetic moment, μB per formula unit: 0.0
Calculated formation energy, eV per atom: 0.030
Space-group type: I4/mmm
Density, g/cm3: 5.68

No. 10
Re2POs: relaxed, PBE.

Unit cell a=2.8717 b=2.8717 c=6.7003 alpha=90.00 beta=90.00 gamma=90.00
Positions (direct):
Re  0.0000  0.0000  0.9670
Re  0.5000  0.5000  0.2500
P  0.5000  0.5000  0.7532
Os  0.0000  0.0000  0.5298

Magnetic moment, μB per formula unit: 0.0
Calculated formation energy, eV per atom: -0.063
Space-group type: P4mm
Density, g/cm3: 17.84

No. 11
NaCaBrF2: relaxed, PBE.

Unit cell a=4.3843 b=4.3843 c=6.0299 alpha=90.00 beta=90.00 gamma=90.00
Positions (direct):
Na  0.5000  0.5000  0.5000
Ca  0.0000  0.0000  0.0000
Br  0.0000  0.0000  0.5000
F  0.0000  0.5000  0.0000
F  0.5000  0.0000  0.0000

Magnetic moment, μB per formula unit: 0.0
E_form (uncorrected), meV/atom: -2789
Space-group type: P4/mmm
Density, g/cm3: 2.59

No. 12
LiZrPb2: relaxed, PBE.

Unit cell a=5.2295 b=5.2295 c=5.2295 alpha=60.00 beta=60.00 gamma=60.00
Positions (direct):
Li  0.5000  0.5000  0.5000
Pb  0.0000  0.0000  0.0000
Pb  0.2500  0.2500  0.2500
Zr  0.7500  0.7500  0.7500

Magnetic moment, μB per formula unit: 0.0
Calculated formation energy, eV per atom: 0.238
Space-group type: F-43m
Density, g/cm3: 8.42

Which of these has the highest density? Re2POs

Look up the density of the sixth one. 11.49 g/cm3